(1)
# Ba2Mg2Sc (PBE, optimized geometry)
# Total DFT energy (no corrections) in eV per atom: -2.4775
# DFT formation energy in eV/atom: 0.196
# Magnetization in μB/f.u.: 0.000
# ρ in g/cm³: 3.1
data_Ba2Mg2Sc
_symmetry_space_group_name_H-M 'P 4/m b m'
_symmetry_Int_Tables_number 127
_symmetry_space_group_name_Hall '-P 4 2ab'
_cell_length_a 8.229
_cell_length_b 8.229
_cell_length_c 5.788
_cell_angle_alpha 90.00
_cell_angle_beta 90.00
_cell_angle_gamma 90.00
loop_
_atom_site_label
_atom_site_type_symbol
_atom_site_fract_x
_atom_site_fract_y
_atom_site_fract_z
Ba1 Ba 0.181 0.319 0.000
Mg1 Mg 0.129 0.629 0.500
Sc1 Sc 0.000 0.000 0.500

(2)
# BaMgSc (PBE, optimized geometry)
# Total DFT energy (no corrections) in eV per atom: -2.4113
# DFT formation energy in eV/atom: 0.872
# Energy above the lowest structure with this stoichiometry in eV/atom: 0.803
# Magnetization in μB/f.u.: 0.003
# ρ in g/cm³: 2.9
data_BaMgSc
_symmetry_space_group_name_H-M 'F -4 3 m'
_symmetry_Int_Tables_number 216
_symmetry_space_group_name_Hall 'F -4 2 3'
_cell_length_a 7.771
_cell_length_b 7.771
_cell_length_c 7.771
_cell_angle_alpha 90.00
_cell_angle_beta 90.00
_cell_angle_gamma 90.00
loop_
_atom_site_label
_atom_site_type_symbol
_atom_site_fract_x
_atom_site_fract_y
_atom_site_fract_z
Ba1 Ba 0.000 0.000 0.000
Mg1 Mg 0.250 0.250 0.250
Sc1 Sc 0.250 0.250 0.750

(3)
# BaMg2Sc (PBE, optimized geometry)
# Total DFT energy (no corrections) in eV per atom: -2.3885
# DFT formation energy in eV/atom: 0.472
# Energy above the lowest structure with this stoichiometry in eV/atom: 0.448
# Magnetization in μB/f.u.: 0.657
# ρ in g/cm³: 2.7
data_BaMg2Sc
_symmetry_space_group_name_H-M 'I -4 2 d'
_symmetry_Int_Tables_number 122
_symmetry_space_group_name_Hall 'I -4 2bw'
_cell_length_a 5.039
_cell_length_b 5.039
_cell_length_c 22.590
_cell_angle_alpha 90.00
_cell_angle_beta 90.00
_cell_angle_gamma 90.00
loop_
_atom_site_label
_atom_site_type_symbol
_atom_site_fract_x
_atom_site_fract_y
_atom_site_fract_z
Ba1 Ba 0.000 0.000 0.000
Mg1 Mg 0.165 0.250 0.625
Sc1 Sc 0.000 0.000 0.500